A relaxed structure of KCaSb, computed with GGA-PBEsol.

```
KCaSb
1.0
5.282 0.000 0.000
0.000 5.171 0.000
0.000 -2.586 4.478
Sb Ca K
1 1 1
Direct
0.217 0.667 0.333 Sb
0.141 0.000 0.000 Ca
0.641 0.333 0.667 K
```

Summary:
Volume in Å³/atom: 40.8
Uncorrected formation energy in meV per atom: -535

A relaxed structure of KCaSc2, computed with GGA-PBEsol.

```
KCaSc2
1.0
-1.202 3.241 0.799
-3.053 -0.723 -1.658
-4.144 -3.831 9.302
Ca K Sc
1 1 2
Direct
0.000 0.000 0.447 Ca
0.500 0.500 0.771 K
0.000 0.000 0.057 Sc
0.500 0.500 0.225 Sc
```

Summary:
Volume in Å³/atom: 34.2
Formation enthalpy at 0 K in eV per atom: 0.2789
Excess energy over the best structure of this formula in the dataset in kJ/mol of formula units: 0.0

A relaxed structure of KCaSc2, computed with GGA-PBEsol.

```
KCaSc2
1.0
-2.527 0.975 -1.994
2.112 -4.172 -4.717
-4.383 -2.270 4.445
Ca K Sc
1 1 2
Direct
0.500 0.000 0.000 Ca
0.500 0.500 0.500 K
0.000 0.500 0.000 Sc
0.000 0.000 0.500 Sc
```

Summary:
Volume in Å³/atom: 32.7
Formation enthalpy at 0 K in eV per atom: 0.6073
Excess energy over the best structure of this formula in the dataset in kJ/mol of formula units: 126.7

A relaxed structure of KCaSc2, computed with GGA-PBEsol.

```
KCaSc2
1.0
3.597 0.000 0.000
0.000 6.022 0.000
0.000 0.000 6.022
Ca K Sc
1 1 2
Direct
0.500 0.500 0.500 Ca
0.500 0.000 0.000 K
0.000 0.000 0.500 Sc
0.000 0.500 0.000 Sc
```

Summary:
Volume in Å³/atom: 32.6
Formation enthalpy at 0 K in eV per atom: 0.6800
Excess energy over the best structure of this formula in the dataset in kJ/mol of formula units: 154.8

A relaxed structure of KCa2Sc, computed with GGA-PBEsol.

```
KCa2Sc
1.0
5.227 0.000 0.000
0.000 5.227 0.000
-2.614 -2.614 5.618
Ca K Sc
2 1 1
Direct
0.000 0.000 0.000 Ca
0.750 0.250 0.500 Ca
0.500 0.500 0.000 K
0.250 0.750 0.500 Sc
```

Summary:
Volume in Å³/atom: 38.4
Formation enthalpy at 0 K in eV per atom: 0.4612

A relaxed structure of KCaSe2, computed with GGA-PBEsol.

```
KCaSe2
1.0
3.887 0.000 0.000
0.000 3.887 0.000
0.000 0.000 8.599
Ca K Se
1 1 2
Direct
0.000 0.000 0.318 Ca
0.500 0.500 0.784 K
0.000 0.000 0.985 Se
0.500 0.500 0.413 Se
```

Summary:
Volume in Å³/atom: 32.5
Uncorrected formation energy in meV per atom: -1129

A relaxed structure of KCa2Se, computed with GGA-PBEsol.

```
KCa2Se
1.0
-0.110 3.945 2.455
-3.466 1.566 -2.672
-2.172 -5.179 3.825
Ca K Se
2 1 1
Direct
0.000 0.000 0.000 Ca
0.750 0.250 0.500 Ca
0.500 0.500 0.000 K
0.250 0.750 0.500 Se
```

Summary:
Volume in Å³/atom: 32.1
Uncorrected formation energy in meV per atom: -387

A relaxed structure of KCaSe2, computed with GGA-PBEsol.

```
KCaSe2
1.0
-0.817 -1.164 4.838
-2.967 -2.350 -3.695
4.838 -1.409 0.478
Ca K Se
1 1 2
Direct
0.500 0.000 0.000 Ca
0.000 0.000 0.500 K
0.750 0.501 0.750 Se
0.250 0.499 0.250 Se
```

Summary:
Volume in Å³/atom: 24.9
Uncorrected formation energy in meV per atom: -1171

A relaxed structure of KCa2Se, computed with GGA-PBEsol.

```
KCa2Se
1.0
-1.939 0.479 3.535
-0.304 -3.115 2.588
8.512 2.102 6.715
Ca K Se
2 1 1
Direct
0.280 0.280 0.161 Ca
0.720 0.720 0.839 Ca
0.500 0.500 0.500 K
0.000 0.000 0.000 Se
```

Summary:
Volume in Å³/atom: 38.5
Uncorrected formation energy in meV per atom: -863

A relaxed structure of KCa4Se, computed with GGA-PBEsol.

```
KCa4Se
1.0
6.981 0.000 0.000
3.491 6.046 0.000
3.491 2.015 5.700
Ca K Se
4 1 1
Direct
0.374 0.374 0.374 Ca
0.374 0.374 0.877 Ca
0.877 0.374 0.374 Ca
0.374 0.877 0.374 Ca
0.750 0.750 0.750 K
0.000 0.000 0.000 Se
```

Summary:
Volume in Å³/atom: 40.1
Uncorrected formation energy in meV per atom: 126

A relaxed structure of KCaSe2, computed with GGA-PBEsol.

```
KCaSe2
1.0
3.885 0.000 0.000
0.000 5.062 0.006
0.000 -0.870 4.986
Ca K Se
1 1 2
Direct
0.500 0.000 0.000 Ca
0.500 0.500 0.500 K
0.000 0.500 0.000 Se
0.000 0.000 0.500 Se
```

Summary:
Volume in Å³/atom: 24.5
Uncorrected formation energy in meV per atom: -1198

A relaxed structure of K2CaSi, computed with GGA-PBEsol.

```
K2CaSi
1.0
3.690 0.000 0.000
0.000 3.690 0.000
0.000 0.000 11.410
Ca K Si
1 2 1
Direct
0.500 0.500 0.500 Ca
0.000 0.000 0.814 K
0.000 0.000 0.186 K
0.500 0.500 0.000 Si
```

Summary:
Volume in Å³/atom: 38.8
Uncorrected formation energy in meV per atom: 440

no.,total moment (Bohr magnetons per cell),D(E_F) (states/eV per atom)
1,0.00,0.130
2,0.56,1.414
3,1.78,1.952
4,0.84,1.703
5,0.02,1.536
6,0.00,0.704
7,0.86,0.764
8,0.00,0.733
9,0.00,0.606
10,0.00,1.095
11,0.00,0.219
12,0.36,1.037